Compound: YIBrO2
Source: Alexandria via LeMat-Bulk
Functional: PBE-GGA
Structure: optimized geometry

Cell: 4.219 4.219 6.113 Å, 90.00 90.00 90.00°
Element x y z (fractional)
Y  0.000  0.000  0.000
I  0.500  0.500  0.000
Br  0.500  0.500  0.500
O  0.000  0.500  0.500
O  0.500  0.000  0.500

**Space group**: P4/mmm (123)
**N(E_F)**: 0.4774 states/eV/atom
**Formation energy from raw total energies**: 6.7 kJ/mol of atoms
**Offset from the most stable computed form**: 1146 meV per atom
**V**: 109 Å³/cell
**Total moment**: 0.00 μB per atom


Compound: NaNpN2
Source: Alexandria via LeMat-Bulk
Functional: PBE-GGA
Structure: optimized geometry

Cell: 6.259 6.259 6.259 Å, 32.21 32.21 32.21°
Element x y z (fractional)
Na  0.000  0.000  0.000
Np  0.176  0.176  0.176
N  0.569  0.569  0.569
N  0.787  0.787  0.787

**Space group**: R3m (160)
**N(E_F)**: 1.3011 states/eV/atom
**Formation energy from raw total energies**: -74.9 kJ/mol of atoms
**Offset from the most stable computed form**: 68 meV per atom
**V**: 62 Å³/cell
**Total moment**: 0.50 μB per atom


Compound: LaNdDyY3
Source: Alexandria via LeMat-Bulk
Functional: PBE-GGA
Structure: optimized geometry

Cell: 6.454 6.454 11.879 Å, 90.00 90.00 125.25°
Element x y z (fractional)
La  0.001  0.999  0.750
La  0.999  0.001  0.250
Nd  0.500  0.500  0.000
Nd  0.500  0.500  0.500
Dy  0.329  0.671  0.250
Dy  0.671  0.329  0.750
Y  0.174  0.826  0.001
Y  0.174  0.826  0.499
Y  0.327  0.673  0.750
Y  0.673  0.327  0.250
Y  0.826  0.174  0.501
Y  0.826  0.174  0.999

**Energy of formation from the pure elements**: 0.63 eV per formula unit
**Space group**: Cmcm (63)
**N(E_F)**: 2.1255 states/eV/atom
**V**: 404 Å³/cell
**Total moment**: 0.00 μB per atom


Compound: K4Pr3YS8
Source: Alexandria via LeMat-Bulk
Functional: PBE-GGA
Structure: optimized geometry

Cell: 8.841 8.841 8.841 Å, 56.53 56.53 56.53°
Element x y z (fractional)
K  0.000  0.000  0.000
K  0.000  0.500  0.500
K  0.500  0.000  0.500
K  0.500  0.500  0.000
Pr  0.000  0.000  0.500
Pr  0.000  0.500  0.000
Pr  0.500  0.000  0.000
Y  0.500  0.500  0.500
S  0.237  0.237  0.237
S  0.244  0.731  0.731
S  0.269  0.269  0.756
S  0.269  0.756  0.269
S  0.731  0.244  0.731
S  0.731  0.731  0.244
S  0.756  0.269  0.269
S  0.763  0.763  0.763

**Space group**: R-3m (166)
**N(E_F)**: 0.0000 states/eV/atom
**Formation energy from raw total energies**: -178.5 kJ/mol of atoms
**V**: 449 Å³/cell
**Total moment**: 0.00 μB per atom


Compound: LaTb2Sn
Source: Alexandria via LeMat-Bulk
Functional: PBE-GGA
Structure: optimized geometry

Cell: 4.763 4.791 11.575 Å, 90.00 101.80 90.00°
Element x y z (fractional)
La  0.192  0.250  0.386
La  0.808  0.750  0.614
Tb  0.057  0.750  0.115
Tb  0.438  0.750  0.875
Tb  0.562  0.250  0.125
Tb  0.943  0.250  0.885
Sn  0.340  0.250  0.678
Sn  0.660  0.750  0.322

**Energy of formation from the pure elements**: -1.73 eV per formula unit
**Space group**: P2_1/m (11)
**N(E_F)**: 1.2483 states/eV/atom
**Offset from the most stable computed form**: 0 meV per atom
**V**: 259 Å³/cell
**Total moment**: 0.04 μB per atom


Compound: CeP2PtS8
Source: Alexandria via LeMat-Bulk
Functional: PBE-GGA
Structure: optimized geometry

Cell: 6.523 6.523 8.111 Å, 90.00 90.00 120.00°
Element x y z (fractional)
Ce  0.000  0.000  0.000
P  0.333  0.667  0.214
P  0.667  0.333  0.786
Pt  0.000  0.000  0.500
S  0.155  0.311  0.283
S  0.155  0.845  0.283
S  0.311  0.155  0.717
S  0.333  0.667  0.969
S  0.667  0.333  0.031
S  0.689  0.845  0.283
S  0.845  0.155  0.717
S  0.845  0.689  0.717

**Space group**: P-3m1 (164)
**N(E_F)**: 0.8573 states/eV/atom
**Formation energy from raw total energies**: -31.2 kJ/mol of atoms
**V**: 299 Å³/cell
**Total moment**: 0.06 μB per atom


Compound: La8Pd5Rh
Source: Alexandria via LeMat-Bulk
Functional: PBE-GGA
Structure: optimized geometry

Cell: 7.945 7.945 7.945 Å, 109.80 109.80 108.81°
Element x y z (fractional)
La  0.016  0.872  0.258
La  0.124  0.379  0.634
La  0.128  0.386  0.144
La  0.242  0.984  0.856
La  0.510  0.876  0.255
La  0.614  0.758  0.742
La  0.621  0.255  0.745
La  0.745  0.490  0.366
Pd  0.376  0.248  0.370
Pd  0.500  0.500  0.000
Pd  0.752  0.122  0.128
Pd  0.878  0.006  0.630
Pd  0.994  0.624  0.872
Rh  0.250  0.750  0.500

**Energy of formation from the pure elements**: -9.90 eV per formula unit
**Space group**: I-4 (82)
**N(E_F)**: 0.9408 states/eV/atom
**V**: 386 Å³/cell
**Total moment**: 0.00 μB per atom


Compound: Ba2ReMo
Source: Alexandria via LeMat-Bulk
Functional: PBE-GGA
Structure: optimized geometry

Cell: 6.378 6.378 2.984 Å, 90.00 90.00 123.91°
Element x y z (fractional)
Ba  0.000  0.500  0.000
Ba  0.500  0.000  0.000
Re  0.000  0.000  0.500
Mo  0.500  0.500  0.500

**Energy of formation from the pure elements**: 6.28 eV per formula unit
**Space group**: Cmmm (65)
**N(E_F)**: 0.9674 states/eV/atom
**Offset from the most stable computed form**: 1068 meV per atom
**V**: 101 Å³/cell
**Total moment**: 0.00 μB per atom